Record 1
Material: SrZnC2N
Method: DFT, PBE
State: relaxed

Values from the calculation:
As for the uncorrected formation energy: 3.28 eV per atom.

Unit cell a=5.285 b=5.285 c=7.301 alpha=90.00 beta=90.00 gamma=90.00
Space group P4/mmm (No. 123)
One atom of each set of equivalent atoms:
Sr  0.000  0.000  0.000 [1 per cell]
Zn  0.000  0.000  0.500 [1 per cell]
C  0.000  0.500  0.000 [2 per cell]
N  0.500  0.500  0.500 [1 per cell]


Record 2
Material: NaTlInPt
Method: DFT, PBE
State: relaxed

Unit cell a=6.930 b=6.930 c=6.930 alpha=90.00 beta=90.00 gamma=90.00
Space group F-43m (No. 216)
One atom of each set of equivalent atoms:
Na  0.000  0.000  0.000 [4 per cell]
Tl  0.250  0.250  0.750 [4 per cell]
In  0.250  0.250  0.250 [4 per cell]
Pt  0.000  0.000  0.500 [4 per cell]


Record 3
Material: AcLaPrSm
Method: DFT, PBE
State: relaxed

Unit cell a=8.496 b=8.496 c=8.496 alpha=90.00 beta=90.00 gamma=90.00
Space group F-43m (No. 216)
One atom of each set of equivalent atoms:
Ac  0.000  0.000  0.000 [4 per cell]
La  0.250  0.250  0.250 [4 per cell]
Pr  0.250  0.250  0.750 [4 per cell]
Sm  0.000  0.000  0.500 [4 per cell]


The records above give, respectively, E_tot values of -2.662 -3.330 -4.485 eV per atom.
The records above give, respectively, total magnetization values of 1.744 0.000 0.452 μB/atom.